# 1
LiMgIn, relaxed, DFT PBEsol; E = -2.206 eV/atom; size of the total moment = 0.00 Bohr magnetons per cell; N(E_F) = 0.52 states/eV per atom
1.0
0.000 3.206 3.206
3.206 0.000 3.206
3.206 3.206 0.000
Li Mg In
1 1 1
Direct
0.000 0.000 0.000
0.750 0.750 0.750
0.250 0.250 0.250

---

# 2
GaMo3Rh, relaxed, DFT PBEsol; E = -7.691 eV/atom; size of the total moment = 0.00 Bohr magnetons per cell; N(E_F) = 1.29 states/eV per atom
1.0
4.618 0.000 0.000
0.000 4.618 0.000
0.000 0.000 4.618
Ga Mo Rh
1 3 1
Direct
0.000 0.000 0.000
0.000 0.500 0.500
0.500 0.000 0.500
0.500 0.500 0.000
0.500 0.500 0.500

---

# 3
ReOs2Se, relaxed, DFT PBEsol; E_form (uncorrected) = 0.824 eV per atom; E = -9.579 eV/atom; size of the total moment = 0.00 Bohr magnetons per cell; N(E_F) = 1.47 states/eV per atom
1.0
4.578 0.000 0.000
0.000 4.578 0.000
0.000 0.000 2.829
Re Os Se
1 2 1
Direct
0.000 0.000 0.000
0.000 0.500 0.500
0.500 0.000 0.500
0.500 0.500 0.000

---

# 4
CsNaS2, relaxed, DFT PBEsol; E_form (uncorrected) = -0.300 eV per atom; E = -3.078 eV/atom; size of the total moment = 2.03 Bohr magnetons per cell; N(E_F) = 0.60 states/eV per atom
1.0
0.000 3.813 3.813
3.813 0.000 3.813
3.813 3.813 0.000
Cs Na S
1 1 2
Direct
0.000 0.000 0.000
0.500 0.500 0.500
0.250 0.250 0.250
0.750 0.750 0.750

---

# 5
FePt2Au, relaxed, DFT PBEsol; E = -6.771 eV/atom; size of the total moment = 3.75 Bohr magnetons per cell; N(E_F) = 0.61 states/eV per atom
1.0
2.765 0.000 0.000
0.000 3.740 0.000
0.000 0.000 5.712
Fe Pt Au
1 2 1
Direct
0.000 0.000 0.000
0.500 0.500 0.233
0.500 0.500 0.767
0.000 0.000 0.500

---

# 6
BaSb2TeP, relaxed, DFT PBEsol; E_form (uncorrected) = -0.231 eV per atom; E = -4.347 eV/atom; size of the total moment = 0.00 Bohr magnetons per cell; N(E_F) = 0.84 states/eV per atom
1.0
5.315 0.000 0.000
0.000 5.315 0.000
0.000 0.000 5.343
Ba Sb Te P
1 2 1 1
Direct
0.000 0.000 0.000
0.000 0.500 0.500
0.500 0.000 0.500
0.500 0.500 0.000
0.500 0.500 0.500